A plane-wave DFT calculation with PBEsol was carried out for Cd3Fe2 after structural relaxation.

Values from the calculation:
V (Å³ per cell): 244.9
DOS(E_F) (states/eV/f.u.): 4.51
Total DFT energy (no corrections) (eV per atom): -3.93
ΔH_f (0 K) (eV per atom): 0.38

Cell lengths 2.8438, 2.8438, 34.9681 Å; angles 90.00, 90.00, 120.00 degrees
Space group R-3m (No. 166, hexagonal axes)
Inequivalent atoms, fractional coordinates:
Cd: 0.0000 0.0000 0.0000 x3
Cd: 0.0000 0.0000 0.2052 x6
Fe: 0.0000 0.0000 0.3975 x6